No. 1
# Zn2CoSb

Crystalline Zn2CoSb at its relaxed geometry (PBE, the Alexandria database).

Computed properties:
- uncorrected energy (eV per atom) = -3.2682
- E_form (uncorrected) (eV/atom) = 0.18
- spin magnetization (μB/cell) = 0.6

Cell and atoms, written as POSCAR:
```
Zn2CoSb
1.0
-4.819 -1.518 -0.137
-0.662 -4.956 -0.738
2.794 2.829 3.120
Co Sb Zn
1 1 2
Direct
0.250 0.750 0.500 Co
0.750 0.250 0.500 Sb
0.000 0.000 0.000 Zn
0.500 0.500 0.000 Zn
```



No. 2
# Zn2CoSb

Crystalline Zn2CoSb at its relaxed geometry (PBE, the Alexandria database).

Computed properties:
- uncorrected energy (eV per atom) = -3.2229
- E_form (uncorrected) (eV/atom) = 0.22
- spin magnetization (μB/cell) = 0.8

Cell and atoms, written as POSCAR:
```
Zn2CoSb
1.0
5.710 0.005 0.012
-2.959 4.884 0.012
0.975 1.733 2.416
Co Sb Zn
1 1 2
Direct
0.500 0.000 0.500 Co
0.000 0.500 0.500 Sb
0.000 0.000 0.000 Zn
0.500 0.500 0.000 Zn
```



No. 3
# ZnCoSb2

Crystalline ZnCoSb2 at its relaxed geometry (PBE, the Alexandria database).

Computed properties:
- uncorrected energy (eV per atom) = -4.0563
- E_form (uncorrected) (eV/atom) = 0.10
- spin magnetization (μB/cell) = 0.8

Cell and atoms, written as POSCAR:
```
ZnCoSb2
1.0
-2.397 -0.117 -2.097
-1.202 -2.533 1.516
-4.324 4.847 4.671
Co Sb Zn
1 2 1
Direct
0.500 0.500 0.711 Co
0.000 0.000 0.907 Sb
0.500 0.500 0.323 Sb
0.000 0.000 0.559 Zn
```



No. 4
# ZnCoSb2

Crystalline ZnCoSb2 at its relaxed geometry (PBE, the Alexandria database).

Computed properties:
- uncorrected energy (eV per atom) = -3.9993
- E_form (uncorrected) (eV/atom) = 0.16
- spin magnetization (μB/cell) = 0.0

Cell and atoms, written as POSCAR:
```
ZnCoSb2
1.0
6.896 0.069 -0.027
4.988 4.763 0.027
-5.722 -2.957 2.465
Co Sb Zn
1 2 1
Direct
0.221 0.721 0.500 Co
0.062 0.062 0.000 Sb
0.778 0.278 0.500 Sb
0.439 0.439 0.000 Zn
```



No. 5
# Zr2CoSb

Crystalline Zr2CoSb at its relaxed geometry (PBE, the Alexandria database).

Computed properties:
- uncorrected energy (eV per atom) = -7.4145
- E_form (uncorrected) (eV/atom) = -0.33
- spin magnetization (μB/cell) = 0.0

Cell and atoms, written as POSCAR:
```
Zr2CoSb
1.0
5.717 0.010 -0.005
4.643 3.336 -0.005
1.735 0.560 4.060
Co Sb Zr
1 1 2
Direct
0.506 0.506 0.494 Co
0.212 0.212 0.288 Sb
0.004 0.004 0.996 Zr
0.779 0.779 0.721 Zr
```



No. 6
# Zr2CoSb

Crystalline Zr2CoSb at its relaxed geometry (PBE, the Alexandria database).

Computed properties:
- uncorrected energy (eV per atom) = -7.3497
- E_form (uncorrected) (eV/atom) = -0.27
- spin magnetization (μB/cell) = 0.8

Cell and atoms, written as POSCAR:
```
Zr2CoSb
1.0
-2.951 0.699 0.895
-0.119 -3.148 0.270
2.422 0.557 7.550
Co Sb Zr
1 1 2
Direct
0.500 0.500 0.250 Co
0.500 0.500 0.750 Sb
0.000 0.000 0.040 Zr
0.000 0.000 0.460 Zr
```



No. 7
# ZrCo4Sb

Crystalline ZrCo4Sb at its relaxed geometry (PBE, the Alexandria database).

Computed properties:
- uncorrected energy (eV per atom) = -7.0020
- E_form (uncorrected) (eV/atom) = -0.15
- spin magnetization (μB/cell) = 5.1

Cell and atoms, written as POSCAR:
```
ZrCo4Sb
1.0
-2.497 -1.418 3.996
-3.555 -3.380 -0.391
0.677 -4.508 1.852
Zr Co Sb
1 4 1
Direct
0.000 0.000 0.000 Zr
0.876 0.375 0.375 Co
0.375 0.375 0.876 Co
0.375 0.876 0.375 Co
0.375 0.375 0.375 Co
0.750 0.750 0.750 Sb
```



No. 8
# Zr2CoSb

Crystalline Zr2CoSb at its relaxed geometry (PBE, the Alexandria database).

Computed properties:
- uncorrected energy (eV per atom) = -7.3903
- E_form (uncorrected) (eV/atom) = -0.31
- spin magnetization (μB/cell) = 1.3

Cell and atoms, written as POSCAR:
```
Zr2CoSb
1.0
-2.954 -0.182 -4.187
-1.718 -3.898 -2.853
-4.309 -1.198 0.652
Co Sb Zr
1 1 2
Direct
0.750 0.750 0.750 Co
0.250 0.250 0.250 Sb
0.010 0.010 0.990 Zr
0.490 0.490 0.510 Zr
```



No. 9
# Zr2CoSb

Crystalline Zr2CoSb at its relaxed geometry (PBE, the Alexandria database).

Computed properties:
- uncorrected energy (eV per atom) = -7.3634
- E_form (uncorrected) (eV/atom) = -0.28
- spin magnetization (μB/cell) = 1.6

Cell and atoms, written as POSCAR:
```
Zr2CoSb
1.0
3.627 0.000 0.000
0.000 3.616 0.222
0.000 3.242 6.183
Co Sb Zr
1 1 2
Direct
0.500 0.250 0.250 Co
0.500 0.750 0.750 Sb
0.000 0.989 0.011 Zr
0.000 0.511 0.489 Zr
```



No. 10
# Zr2CoSb

Crystalline Zr2CoSb at its relaxed geometry (PBE, the Alexandria database).

Computed properties:
- uncorrected energy (eV per atom) = -7.5331
- E_form (uncorrected) (eV/atom) = -0.45
- spin magnetization (μB/cell) = 0.2

Cell and atoms, written as POSCAR:
```
Zr2CoSb
1.0
-1.032 3.682 0.646
-2.398 -0.135 -3.065
-5.129 -1.718 1.595
Co Sb Zr
1 1 2
Direct
0.000 0.709 0.435 Co
0.500 0.556 0.770 Sb
0.000 0.964 0.954 Zr
0.500 0.271 0.341 Zr
```



No. 11
# Zr6Co2Sb

Crystalline Zr6Co2Sb at its relaxed geometry (PBE, the Alexandria database).

Computed properties:
- uncorrected energy (eV per atom) = -8.0184
- E_form (uncorrected) (eV/atom) = -0.28
- spin magnetization (μB/cell) = 0.0

Cell and atoms, written as POSCAR:
```
Zr6Co2Sb
1.0
7.172 0.039 -3.203
-4.171 6.526 -1.308
-0.184 -0.039 7.853
Zr Co Sb
12 4 2
Direct
0.511 0.810 0.701 Zr
0.489 0.190 0.299 Zr
0.108 0.810 0.299 Zr
0.892 0.190 0.701 Zr
0.802 0.045 0.243 Zr
0.198 0.955 0.757 Zr
0.198 0.441 0.243 Zr
0.802 0.559 0.757 Zr
0.690 0.327 0.017 Zr
0.310 0.673 0.983 Zr
0.310 0.327 0.637 Zr
0.690 0.673 0.363 Zr
0.500 0.123 0.623 Co
0.500 0.877 0.377 Co
0.653 0.653 0.000 Co
0.347 0.347 0.000 Co
0.000 0.500 0.500 Sb
0.000 0.000 0.000 Sb
```



No. 12
# ZrCo2Sb

Crystalline ZrCo2Sb at its relaxed geometry (PBE, the Alexandria database).

Computed properties:
- uncorrected energy (eV per atom) = -6.8904
- E_form (uncorrected) (eV/atom) = -0.17
- spin magnetization (μB/cell) = 0.0

Cell and atoms, written as POSCAR:
```
ZrCo2Sb
1.0
-4.202 2.377 0.579
-4.337 0.236 -2.187
-2.313 -2.704 2.206
Co Sb Zr
2 1 1
Direct
0.983 0.983 0.064 Co
0.770 0.770 0.673 Co
0.495 0.495 0.571 Sb
0.252 0.252 0.191 Zr
```



No. 13
# ZrCo2Sb

Crystalline ZrCo2Sb at its relaxed geometry (PBE, the Alexandria database).

Computed properties:
- uncorrected energy (eV per atom) = -6.5256
- E_form (uncorrected) (eV/atom) = 0.20
- spin magnetization (μB/cell) = 3.6

Cell and atoms, written as POSCAR:
```
ZrCo2Sb
1.0
4.115 0.000 0.000
0.000 4.115 0.000
2.057 2.057 8.600
Sb Co Zr
2 4 2
Direct
0.000 0.000 0.000 Sb
0.750 0.250 0.500 Sb
0.676 0.125 0.250 Co
0.074 0.625 0.250 Co
0.375 0.324 0.750 Co
0.875 0.926 0.750 Co
0.500 0.500 0.000 Zr
0.250 0.750 0.500 Zr
```



No. 14
# ZrCo2Sb

Crystalline ZrCo2Sb at its relaxed geometry (PBE, the Alexandria database).

Computed properties:
- uncorrected energy (eV per atom) = -6.8716
- E_form (uncorrected) (eV/atom) = -0.15
- spin magnetization (μB/cell) = 2.3

Cell and atoms, written as POSCAR:
```
ZrCo2Sb
1.0
-1.339 4.908 2.133
-4.601 2.915 0.870
-2.833 1.890 4.339
Co Sb Zr
2 1 1
Direct
0.952 0.952 0.952 Co
0.289 0.289 0.289 Co
0.529 0.529 0.529 Sb
0.730 0.730 0.730 Zr
```



No. 15
# ZrCo2Sb

Crystalline ZrCo2Sb at its relaxed geometry (PBE, the Alexandria database).

Computed properties:
- uncorrected energy (eV per atom) = -6.9448
- E_form (uncorrected) (eV/atom) = -0.22
- spin magnetization (μB/cell) = 1.2

Cell and atoms, written as POSCAR:
```
ZrCo2Sb
1.0
4.211 0.000 0.000
0.000 4.210 0.000
0.000 0.000 3.569
Co Sb Zr
2 1 1
Direct
0.000 0.000 0.000 Co
0.500 0.500 0.000 Co
0.500 0.000 0.500 Sb
0.000 0.500 0.500 Zr
```



No. 16
# ZrCo2Sb

Crystalline ZrCo2Sb at its relaxed geometry (PBE, the Alexandria database).

Computed properties:
- uncorrected energy (eV per atom) = -6.8549
- E_form (uncorrected) (eV/atom) = -0.13
- spin magnetization (μB/cell) = 0.0

Cell and atoms, written as POSCAR:
```
ZrCo2Sb
1.0
-3.201 -3.698 1.451
1.890 -3.419 3.281
-0.173 5.091 -0.292
Co Sb Zr
2 1 1
Direct
0.000 0.000 0.000 Co
0.750 0.250 0.500 Co
0.500 0.500 0.000 Sb
0.250 0.750 0.500 Zr
```



No. 17
# ZrCo2Sb2

Crystalline ZrCo2Sb2 at its relaxed geometry (PBE, the Alexandria database).

Computed properties:
- uncorrected energy (eV per atom) = -6.2980
- E_form (uncorrected) (eV/atom) = -0.10
- excess energy over the best structure of this formula in the dataset (meV per atom) = 20
- spin magnetization (μB/cell) = 1.0

Cell and atoms, written as POSCAR:
```
ZrCo2Sb2
1.0
4.042 0.000 0.000
0.000 4.042 0.000
2.021 2.021 5.582
Sb Co Zr
2 2 1
Direct
0.373 0.373 0.253 Sb
0.627 0.627 0.747 Sb
0.750 0.250 0.500 Co
0.250 0.750 0.500 Co
0.000 0.000 0.000 Zr
```



No. 18
# ZrCo3Sb5

Crystalline ZrCo3Sb5 at its relaxed geometry (PBE, the Alexandria database).

Computed properties:
- uncorrected energy (eV per atom) = -5.4526
- E_form (uncorrected) (eV/atom) = 0.16
- spin magnetization (μB/cell) = 0.0

Cell and atoms, written as POSCAR:
```
ZrCo3Sb5
1.0
-7.297 0.430 -1.462
3.532 -6.541 -0.547
-1.548 -1.447 7.302
Sb Co Zr
10 6 2
Direct
0.000 0.681 0.250 Sb
0.319 0.319 0.250 Sb
0.681 0.000 0.250 Sb
0.000 0.319 0.750 Sb
0.681 0.681 0.750 Sb
0.319 0.000 0.750 Sb
0.667 0.333 0.000 Sb
0.333 0.667 0.500 Sb
0.333 0.667 0.000 Sb
0.667 0.333 0.500 Sb
0.000 0.342 0.250 Co
0.658 0.658 0.250 Co
0.342 0.000 0.250 Co
0.000 0.658 0.750 Co
0.342 0.342 0.750 Co
0.658 0.000 0.750 Co
0.000 0.000 0.000 Zr
0.000 0.000 0.500 Zr
```



No. 19
# Zr2CoSb

Crystalline Zr2CoSb at its relaxed geometry (PBE, the Alexandria database).

Computed properties:
- uncorrected energy (eV per atom) = -7.3537
- E_form (uncorrected) (eV/atom) = -0.27
- spin magnetization (μB/cell) = 0.0

Cell and atoms, written as POSCAR:
```
Zr2CoSb
1.0
-2.022 -3.832 5.613
-2.911 -5.939 2.557
0.672 -5.902 3.873
Co Sb Zr
1 1 2
Direct
0.250 0.250 0.250 Co
0.750 0.750 0.750 Sb
0.983 0.983 0.983 Zr
0.517 0.517 0.517 Zr
```



No. 20
# Zr6CoSb2

Crystalline Zr6CoSb2 at its relaxed geometry (PBE, the Alexandria database).

Computed properties:
- uncorrected energy (eV per atom) = -7.9729
- E_form (uncorrected) (eV/atom) = -0.57
- spin magnetization (μB/cell) = 0.0

Cell and atoms, written as POSCAR:
```
Zr6CoSb2
1.0
3.631 0.000 0.000
0.000 7.831 0.000
0.000 -3.916 6.782
Sb Co Zr
2 1 6
Direct
0.000 0.667 0.333 Sb
0.000 0.333 0.667 Sb
0.500 0.000 0.000 Co
0.000 0.760 0.760 Zr
0.000 0.240 0.000 Zr
0.000 0.000 0.240 Zr
0.500 0.000 0.599 Zr
0.500 0.599 0.000 Zr
0.500 0.401 0.401 Zr
```



No. 21
# Zr3CoSb

Crystalline Zr3CoSb at its relaxed geometry (PBE, the Alexandria database).

Computed properties:
- uncorrected energy (eV per atom) = -7.5380
- E_form (uncorrected) (eV/atom) = -0.16
- excess energy over the best structure of this formula in the dataset (meV per atom) = 0
- spin magnetization (μB/cell) = 0.0

Cell and atoms, written as POSCAR:
```
Zr3CoSb
1.0
4.833 0.000 0.000
0.000 4.833 0.000
0.000 0.000 4.833
Sb Co Zr
1 1 3
Direct
0.500 0.500 0.500 Sb
0.000 0.000 0.000 Co
0.000 0.500 0.000 Zr
0.000 0.000 0.500 Zr
0.500 0.000 0.000 Zr
```



No. 22
# Zr2Co2Sb

Crystalline Zr2Co2Sb at its relaxed geometry (PBE, the Alexandria database).

Computed properties:
- uncorrected energy (eV per atom) = -7.2389
- E_form (uncorrected) (eV/atom) = -0.15
- excess energy over the best structure of this formula in the dataset (meV per atom) = 262
- spin magnetization (μB/cell) = 1.4

Cell and atoms, written as POSCAR:
```
Zr2Co2Sb
1.0
3.389 0.000 0.000
0.000 3.389 0.000
1.695 1.695 8.123
Sb Co Zr
1 2 2
Direct
0.000 0.000 0.000 Sb
0.750 0.250 0.500 Co
0.250 0.750 0.500 Co
0.376 0.376 0.248 Zr
0.624 0.624 0.752 Zr
```



No. 23
# Zr2CoSb

Crystalline Zr2CoSb at its relaxed geometry (PBE, the Alexandria database).

Computed properties:
- uncorrected energy (eV per atom) = -7.3755
- E_form (uncorrected) (eV/atom) = -0.29
- spin magnetization (μB/cell) = 1.4

Cell and atoms, written as POSCAR:
```
Zr2CoSb
1.0
-3.895 0.777 1.603
-0.832 -4.204 0.016
1.542 -0.290 3.887
Co Sb Zr
1 1 2
Direct
0.500 0.000 0.500 Co
0.000 0.500 0.500 Sb
0.000 0.000 0.000 Zr
0.500 0.500 0.000 Zr
```



No. 24
# Zr2CoSb

Crystalline Zr2CoSb at its relaxed geometry (PBE, the Alexandria database).

Computed properties:
- uncorrected energy (eV per atom) = -7.0685
- E_form (uncorrected) (eV/atom) = 0.01
- spin magnetization (μB/cell) = 0.0

Cell and atoms, written as POSCAR:
```
Zr2CoSb
1.0
8.678 -0.015 -0.009
8.037 3.272 -0.009
8.037 1.566 2.873
Co Sb Zr
1 1 2
Direct
0.501 0.501 0.501 Co
0.765 0.765 0.765 Sb
0.001 0.001 0.001 Zr
0.234 0.234 0.234 Zr
```



No. 25
# ZrCo2Sb

Crystalline ZrCo2Sb at its relaxed geometry (PBE, the Alexandria database).

Computed properties:
- uncorrected energy (eV per atom) = -6.6307
- E_form (uncorrected) (eV/atom) = 0.09
- spin magnetization (μB/cell) = 2.0

Cell and atoms, written as POSCAR:
```
ZrCo2Sb
1.0
4.525 0.000 0.000
2.262 3.918 0.000
2.262 1.306 3.694
Co Sb Zr
2 1 1
Direct
0.000 0.000 0.000 Co
0.250 0.250 0.250 Co
0.500 0.500 0.500 Sb
0.750 0.750 0.750 Zr
```



No. 26
# ZrCo2Sb2

Crystalline ZrCo2Sb2 at its relaxed geometry (PBE, the Alexandria database).

Computed properties:
- uncorrected energy (eV per atom) = -6.3182
- E_form (uncorrected) (eV/atom) = -0.12
- excess energy over the best structure of this formula in the dataset (meV per atom) = 0
- spin magnetization (μB/cell) = 3.1

Cell and atoms, written as POSCAR:
```
ZrCo2Sb2
1.0
6.962 0.000 0.000
0.000 6.962 0.000
0.000 0.000 3.632
Sb Co Zr
4 4 2
Direct
0.175 0.675 0.500 Sb
0.675 0.825 0.500 Sb
0.825 0.325 0.500 Sb
0.325 0.175 0.500 Sb
0.380 0.880 0.000 Co
0.880 0.620 0.000 Co
0.620 0.120 0.000 Co
0.120 0.380 0.000 Co
0.000 0.000 0.000 Zr
0.500 0.500 0.000 Zr
```



No. 27
# ZrCo2Sb

Crystalline ZrCo2Sb at its relaxed geometry (PBE, the Alexandria database).

Computed properties:
- uncorrected energy (eV per atom) = -6.7773
- E_form (uncorrected) (eV/atom) = -0.06
- spin magnetization (μB/cell) = 0.0

Cell and atoms, written as POSCAR:
```
ZrCo2Sb
1.0
-0.700 -1.853 2.692
3.553 -0.120 0.841
-0.541 4.446 2.920
Co Sb Zr
2 1 1
Direct
0.000 0.000 0.971 Co
0.500 0.500 0.284 Co
0.000 0.000 0.447 Sb
0.500 0.500 0.799 Zr
```



No. 28
# ZrCo2Sb

Crystalline ZrCo2Sb at its relaxed geometry (PBE, the Alexandria database).

Computed properties:
- uncorrected energy (eV per atom) = -6.9372
- E_form (uncorrected) (eV/atom) = -0.22
- spin magnetization (μB/cell) = 0.0

Cell and atoms, written as POSCAR:
```
ZrCo2Sb
1.0
-2.376 -3.210 -0.987
1.161 0.161 -3.320
3.917 -2.708 -0.625
Co Sb Zr
2 1 1
Direct
0.000 0.199 0.977 Co
0.500 0.048 0.278 Co
0.000 0.484 0.407 Sb
0.500 0.768 0.838 Zr
```